# 1
A plane-wave DFT calculation with GGA-PBEsol was carried out for a relaxed CeNdHg2 crystal.

Cell and atoms, written as POSCAR:
```
CeNdHg2
1.0
5.310 0.000 0.000
2.655 4.598 0.000
2.655 1.533 4.335
Nd Hg Ce
1 2 1
direct
0.000 0.000 0.000
0.750 0.750 0.750
0.250 0.250 0.250
0.500 0.500 0.500
```

## Properties
The density of states at the Fermi level comes out at 2.567 states/eV/atom. Its space-group type is No. 225. The magnetic moment is 0.4424 μB per atom.

=====

# 2
A plane-wave DFT calculation with GGA-PBEsol was carried out for a relaxed CePrHg2 crystal.

Cell and atoms, written as POSCAR:
```
CePrHg2
1.0
5.328 0.000 0.000
2.664 4.614 0.000
2.664 1.538 4.351
Hg Pr Ce
2 1 1
direct
0.250 0.250 0.250
0.750 0.750 0.750
0.000 0.000 0.000
0.500 0.500 0.500
```

## Properties
The density of states at the Fermi level comes out at 2.569 states/eV/atom. Its space-group type is No. 225. The magnetic moment is 0.4467 μB per atom.

=====

# 3
A plane-wave DFT calculation with GGA-PBEsol was carried out for a relaxed SrCeHg2 crystal.

Cell and atoms, written as POSCAR:
```
SrCeHg2
1.0
-1.390 2.945 -4.308
-4.495 -1.188 -2.747
-4.267 3.300 0.249
Hg Sr Ce
2 1 1
direct
0.750 0.750 0.750
0.250 0.250 0.250
0.500 0.500 0.500
0.000 0.000 0.000
```

## Properties
The density of states at the Fermi level comes out at 2.331 states/eV/atom. Its space-group type is No. 225. The magnetic moment is 0.2421 μB per atom.

=====

# 4
A plane-wave DFT calculation with GGA-PBEsol was carried out for a relaxed Ce2ZnHg crystal.

Cell and atoms, written as POSCAR:
```
Ce2ZnHg
1.0
5.183 0.000 0.000
2.591 4.488 0.000
2.591 1.496 4.232
Ce Zn Hg
2 1 1
direct
0.750 0.750 0.750
0.250 0.250 0.250
0.000 0.000 0.000
0.500 0.500 0.500
```

## Properties
The density of states at the Fermi level comes out at 3.368 states/eV/atom. Its space-group type is No. 225. The magnetic moment is 0.5912 μB per atom.

=====

# 5
A plane-wave DFT calculation with GGA-PBEsol was carried out for a relaxed CeHo4S7 crystal.

Cell and atoms, written as POSCAR:
```
CeHo4S7
1.0
-1.727 -1.021 3.172
2.087 -5.648 -2.902
9.001 3.529 6.036
S Ho Ce
7 4 1
direct
0.956 0.912 0.221
0.044 0.088 0.779
0.261 0.522 0.647
0.335 0.670 0.946
0.739 0.478 0.353
0.500 0.000 0.500
0.665 0.330 0.054
0.887 0.774 0.577
0.300 0.600 0.191
0.700 0.400 0.809
0.113 0.226 0.423
0.000 0.000 0.000
```

## Properties
The uncorrected formation energy is -47.6 kcal/mol of atoms. The density of states at the Fermi level comes out at 0.635 states/eV/atom. Its space-group type is No. 12. The magnetic moment is 0.0800 μB per atom.

=====

# 6
A plane-wave DFT calculation with GGA-PBEsol was carried out for a relaxed CeI3 crystal.

Cell and atoms, written as POSCAR:
```
CeI3
1.0
4.283 0.000 0.000
-2.141 7.069 0.000
0.000 0.000 9.847
Ce I
2 6
direct
0.741 0.483 0.250
0.259 0.517 0.750
0.919 0.838 0.750
0.081 0.162 0.250
0.353 0.706 0.065
0.647 0.294 0.565
0.647 0.294 0.935
0.353 0.706 0.435
```

## Properties
The uncorrected formation energy is -30.2 kcal/mol of atoms. The density of states at the Fermi level comes out at 1.958 states/eV/atom. Its space-group type is No. 63. The magnetic moment is 0.2500 μB per atom.

=====

# 7
A plane-wave DFT calculation with GGA-PBEsol was carried out for a relaxed CeI3 crystal.

Cell and atoms, written as POSCAR:
```
CeI3
1.0
4.076 0.000 0.000
0.000 10.715 0.000
0.000 -5.357 9.279
I Ce
6 2
direct
0.750 0.793 0.587
0.250 0.587 0.793
0.250 0.207 0.413
0.250 0.207 0.793
0.750 0.413 0.207
0.750 0.793 0.207
0.250 0.667 0.333
0.750 0.333 0.667
```

## Properties
The uncorrected formation energy is -28.1 kcal/mol of atoms. The density of states at the Fermi level comes out at 1.422 states/eV/atom. Its space-group type is No. 194. The magnetic moment is 0.2500 μB per atom.

=====

# 8
A plane-wave DFT calculation with GGA-PBEsol was carried out for a relaxed K3CeI6 crystal.

Cell and atoms, written as POSCAR:
```
K3CeI6
1.0
-1.224 8.162 3.484
-5.569 1.125 6.927
3.273 1.946 8.109
Ce I K
1 6 3
direct
0.000 0.000 0.000
0.242 0.758 0.242
0.242 0.758 0.758
0.758 0.758 0.242
0.242 0.242 0.758
0.758 0.242 0.242
0.758 0.242 0.758
0.500 0.500 0.500
0.250 0.250 0.250
0.750 0.750 0.750
```

## Properties
The uncorrected formation energy is -29.4 kcal/mol of atoms. The density of states at the Fermi level comes out at 0.833 states/eV/atom. Its space-group type is No. 225. The magnetic moment is 0.1000 μB per atom.

=====

| no. | uncorrected energy (eV per cell) |
| --- | --- |
| 1 | -14.5 |
| 2 | -14.5 |
| 3 | -11.1 |
| 4 | -15.9 |
| 5 | -81.9 |
| 6 | -34.3 |
| 7 | -33.5 |
| 8 | -33.3 |